The following is a DFT calculation (PBE-GGA) of a geometry-optimized CdFeRe2 structure.

POSCAR file:
```
CdFeRe2
1.0
-4.437 1.611 0.462
-1.969 -2.375 3.603
4.108 2.359 -0.235
Fe Re Cd
1 2 1
Direct
0.750 0.250 0.500
0.250 0.750 0.500
0.000 0.000 0.000
0.500 0.500 0.000
```

## Properties
**ΔE_f**: 12.701 kcal/mol of atoms
**Crystal system**: tetragonal

***

The following is a DFT calculation (PBE-GGA) of a geometry-optimized CdFeRe2 structure.

POSCAR file:
```
CdFeRe2
1.0
-2.172 -2.445 2.022
1.929 -1.900 -0.226
4.428 0.033 4.797
Fe Cd Re
1 1 2
Direct
0.500 0.750 0.750
0.500 0.250 0.250
0.000 0.047 0.954
0.000 0.453 0.546
```

## Properties
**ΔE_f**: 11.397 kcal/mol of atoms
**Crystal system**: orthorhombic

***

The following is a DFT calculation (PBE-GGA) of a geometry-optimized Cd2FeRe structure.

POSCAR file:
```
Cd2FeRe
1.0
-1.544 3.030 3.449
-2.777 -2.696 2.912
4.515 -0.827 -1.547
Fe Cd Re
1 2 1
Direct
0.500 0.500 0.000
0.000 0.000 0.000
0.250 0.750 0.500
0.750 0.250 0.500
```

## Properties
**Offset from the most stable computed form**: 467 meV/atom
**ΔE_f**: 16.440 kcal/mol of atoms
**Crystal system**: tetragonal

***

The following is a DFT calculation (PBE-GGA) of a geometry-optimized CdFeRe2 structure.

POSCAR file:
```
CdFeRe2
1.0
-0.071 1.143 -2.476
-2.545 -0.917 -0.350
-2.892 6.792 3.219
Re Cd Fe
2 1 1
Direct
0.000 0.000 0.964
0.000 0.000 0.536
0.500 0.500 0.250
0.500 0.500 0.750
```

## Properties
**ΔE_f**: 9.326 kcal/mol of atoms
**Crystal system**: tetragonal

***

The following is a DFT calculation (PBE-GGA) of a geometry-optimized Cd2FeRh structure.

POSCAR file:
```
Cd2FeRh
1.0
4.549 0.000 0.000
2.274 3.939 0.000
2.274 1.313 3.714
Rh Cd Fe
1 2 1
Direct
0.750 0.750 0.750
0.000 0.000 0.000
0.250 0.250 0.250
0.500 0.500 0.500
```

## Properties
**ΔE_f**: 3.515 kcal/mol of atoms
**Crystal system**: cubic

***

The following is a DFT calculation (PBE-GGA) of a geometry-optimized CdFeRh2 structure.

POSCAR file:
```
CdFeRh2
1.0
-4.492 -2.145 1.638
-1.183 -4.719 -1.948
3.321 2.912 2.821
Cd Rh Fe
1 2 1
Direct
0.750 0.250 0.500
0.022 0.022 0.000
0.478 0.478 0.000
0.250 0.750 0.500
```

## Properties
**ΔE_f**: 1.865 kcal/mol of atoms
**Crystal system**: orthorhombic

***

The following is a DFT calculation (PBE-GGA) of a geometry-optimized CdFe2Rh structure.

POSCAR file:
```
CdFe2Rh
1.0
-2.413 -2.862 2.959
-2.582 -3.138 -2.502
4.601 1.251 -0.205
Fe Cd Rh
2 1 1
Direct
0.500 0.500 0.000
0.000 0.000 0.000
0.750 0.250 0.500
0.250 0.750 0.500
```

## Properties
**ΔE_f**: 4.134 kcal/mol of atoms
**Crystal system**: tetragonal

***

The following is a DFT calculation (PBE-GGA) of a geometry-optimized CdFeRh2 structure.

POSCAR file:
```
CdFeRh2
1.0
2.786 0.000 0.000
0.000 2.786 0.000
0.000 0.000 7.777
Rh Fe Cd
2 1 1
Direct
0.000 0.000 0.993
0.500 0.500 0.231
0.500 0.500 0.774
0.000 0.000 0.503
```

## Properties
**ΔE_f**: 2.311 kcal/mol of atoms
**Crystal system**: tetragonal